Computed, not measured: a relaxed Ac2Th2Sn crystal at the PBE level of DFT. Values from VASP.

The structure in Quantum ESPRESSO input format:
```
&SYSTEM
  ibrav = 0, nat = 5, ntyp = 3
/
ATOMIC_SPECIES
Ac 227.00 Ac.upf
Th 232.04 Th.upf
Sn 118.71 Sn.upf
CELL_PARAMETERS angstrom
-1.0525 -0.0304 4.3552
4.3552 -0.0378 1.0522
-1.5867 9.8180 -2.6198
ATOMIC_POSITIONS crystal
Ac 0.4120 0.4120 0.8240
Ac 0.5880 0.5880 0.1760
Th 0.2500 0.7500 0.5000
Th 0.7500 0.2500 0.5000
Sn 0.0000 0.0000 0.0000
```

Calculated values
Space-group type   No. 139
Volume   196.4 Å³/cell

***

Computed, not measured: a relaxed TaTiMnCr2 crystal at the PBE level of DFT. Values from VASP.

The structure in Quantum ESPRESSO input format:
```
&SYSTEM
  ibrav = 0, nat = 5, ntyp = 4
/
ATOMIC_SPECIES
Mn 54.94 Mn.upf
Cr 52.00 Cr.upf
Ta 180.95 Ta.upf
Ti 47.87 Ti.upf
CELL_PARAMETERS angstrom
4.2798 0.0000 0.0000
0.0000 4.2290 0.0000
0.0000 0.0000 4.2798
ATOMIC_POSITIONS crystal
Mn 0.0000 0.5000 0.0000
Cr 0.5000 0.0000 0.0000
Cr 0.0000 0.0000 0.5000
Ta 0.5000 0.5000 0.5000
Ti 0.0000 0.0000 0.0000
```

Calculated values
Space-group type   No. 123
Volume   77.5 Å³/cell

***

Computed, not measured: a relaxed TmHfInPd crystal at the PBE level of DFT. Values from VASP.

The structure in Quantum ESPRESSO input format:
```
&SYSTEM
  ibrav = 0, nat = 4, ntyp = 4
/
ATOMIC_SPECIES
In 114.82 In.upf
Pd 106.42 Pd.upf
Hf 178.49 Hf.upf
Tm 168.93 Tm.upf
CELL_PARAMETERS angstrom
4.9652 0.0000 0.0000
2.4826 4.3000 0.0000
2.4826 1.4333 4.0541
ATOMIC_POSITIONS crystal
In 0.5000 0.5000 0.5000
Pd 0.0000 0.0000 0.0000
Hf 0.7500 0.7500 0.7500
Tm 0.2500 0.2500 0.2500
```

Calculated values
Space-group type   No. 216
Volume   86.6 Å³/cell

***

Computed, not measured: a relaxed Ag3SeN crystal at the PBE level of DFT. Values from VASP.

The structure in Quantum ESPRESSO input format:
```
&SYSTEM
  ibrav = 0, nat = 5, ntyp = 3
/
ATOMIC_SPECIES
Se 78.96 Se.upf
N 14.01 N.upf
Ag 107.87 Ag.upf
CELL_PARAMETERS angstrom
-5.0162 -0.6182 0.2630
-0.2297 -0.2832 -5.0479
0.6313 -5.0151 0.2526
ATOMIC_POSITIONS crystal
Se 0.0000 0.0000 0.0000
N 0.5000 0.5000 0.5000
Ag 0.0000 0.0000 0.5000
Ag 0.5000 0.0000 0.0000
Ag 0.0000 0.5000 0.0000
```

Calculated values
E_form (uncorrected)   1.209 eV/atom
Polymorph energy (0 for the lowest one)   582 meV/atom
Space-group type   No. 221
Volume   129.6 Å³/cell

***

Computed, not measured: a relaxed Pu2TlRh crystal at the PBE level of DFT. Values from VASP.

The structure in Quantum ESPRESSO input format:
```
&SYSTEM
  ibrav = 0, nat = 4, ntyp = 3
/
ATOMIC_SPECIES
Pu 244.00 Pu.upf
Rh 102.91 Rh.upf
Tl 204.38 Tl.upf
CELL_PARAMETERS angstrom
-2.4707 -0.4248 -3.7474
-2.4615 -3.1559 1.9806
-2.8097 3.1312 1.4975
ATOMIC_POSITIONS crystal
Pu 0.0000 0.0000 0.5000
Pu 0.0000 0.5000 0.0000
Rh 0.5000 0.5000 0.5000
Tl 0.5000 0.0000 0.0000
```

Calculated values
Polymorph energy (0 for the lowest one)   166 meV/atom
Space-group type   No. 123
Volume   89.9 Å³/cell

***

Computed, not measured: a relaxed La2Pr3Sc2 crystal at the PBE level of DFT. Values from VASP.

The structure in Quantum ESPRESSO input format:
```
&SYSTEM
  ibrav = 0, nat = 7, ntyp = 3
/
ATOMIC_SPECIES
Sc 44.96 Sc.upf
Pr 140.91 Pr.upf
La 138.91 La.upf
CELL_PARAMETERS angstrom
3.5715 -0.0012 -0.0289
-1.8183 7.6352 -3.5551
0.0737 -0.5636 8.8038
ATOMIC_POSITIONS crystal
Sc 0.9296 0.8603 0.5692
Sc 0.0704 0.1397 0.4308
Pr 0.7037 0.4079 0.2971
Pr 0.0000 0.0000 0.0000
Pr 0.2963 0.5921 0.7029
La 0.6326 0.2648 0.8178
La 0.3674 0.7352 0.1822
```

Calculated values
Space-group type   No. 12
Volume   232.9 Å³/cell

***

Computed, not measured: a relaxed LaBe2Cd crystal at the PBE level of DFT. Values from VASP.

The structure in Quantum ESPRESSO input format:
```
&SYSTEM
  ibrav = 0, nat = 4, ntyp = 3
/
ATOMIC_SPECIES
Cd 112.41 Cd.upf
La 138.91 La.upf
Be 9.01 Be.upf
CELL_PARAMETERS angstrom
3.0898 0.0000 0.0000
0.0000 2.9559 0.0000
0.0000 0.0000 7.7639
ATOMIC_POSITIONS crystal
Cd 0.0000 0.0000 0.4331
La 0.5000 0.5000 0.7887
Be 0.0000 0.0000 0.0821
Be 0.5000 0.5000 0.1961
```

Calculated values
Space-group type   No. 25
Volume   70.9 Å³/cell

***

Computed, not measured: a relaxed EuUS3 crystal at the PBE level of DFT. Values from VASP.

The structure in Quantum ESPRESSO input format:
```
&SYSTEM
  ibrav = 0, nat = 5, ntyp = 3
/
ATOMIC_SPECIES
Eu 151.96 Eu.upf
S 32.06 S.upf
U 238.03 U.upf
CELL_PARAMETERS angstrom
-2.1378 1.4491 4.5127
2.0932 -4.1529 2.3252
4.2524 2.7727 1.1242
ATOMIC_POSITIONS crystal
Eu 0.5000 0.5000 0.5000
S 0.5000 0.0000 0.0000
S 0.0000 0.0000 0.5000
S 0.0000 0.5000 0.0000
U 0.0000 0.0000 0.0000
```

Calculated values
E_form (uncorrected)   -1.419 eV/atom
Space-group type   No. 221
Volume   140.6 Å³/cell

***

Computed, not measured: a relaxed Na5B7C3 crystal at the PBE level of DFT. Values from VASP.

The structure in Quantum ESPRESSO input format:
```
&SYSTEM
  ibrav = 0, nat = 30, ntyp = 3
/
ATOMIC_SPECIES
B 10.81 B.upf
Na 22.99 Na.upf
C 12.01 C.upf
CELL_PARAMETERS angstrom
-5.5131 -8.7376 -5.0733
-2.8703 -9.8680 -5.1830
-0.2699 -1.5807 9.7897
ATOMIC_POSITIONS crystal
B 0.9165 0.9165 0.5829
B 0.5185 0.5185 0.7871
B 0.3193 0.3193 0.3886
B 0.3860 0.3860 0.5214
B 0.1765 0.1765 0.1031
B 0.8164 0.8164 0.8830
B 0.5861 0.5861 0.9226
B 0.6164 0.6164 0.4831
B 0.7162 0.7162 0.1823
B 0.7812 0.7812 0.3124
B 0.9849 0.9849 0.7199
B 0.0165 0.0165 0.2824
B 0.4164 0.4164 0.0822
B 0.2163 0.2163 0.6834
Na 0.5007 0.5007 0.4997
Na 0.9994 0.9994 0.0014
Na 0.7009 0.7009 0.8972
Na 0.3004 0.3004 0.0991
Na 0.1006 0.1006 0.6989
Na 0.4000 0.4000 0.8015
Na 0.5990 0.5990 0.2026
Na 0.9006 0.9006 0.2990
Na 0.7999 0.7999 0.6019
Na 0.1998 0.1998 0.4014
C 0.8832 0.8832 0.0158
C 0.2831 0.2831 0.8166
C 0.0832 0.0832 0.4162
C 0.1158 0.1158 0.9818
C 0.4834 0.4834 0.2154
C 0.6829 0.6829 0.6171
```

Calculated values
Polymorph energy (0 for the lowest one)   32 meV/atom
Space-group type   No. 8
Volume   310.5 Å³/cell

***

Computed, not measured: a relaxed Ce6PuIn crystal at the PBE level of DFT. Values from VASP.

The structure in Quantum ESPRESSO input format:
```
&SYSTEM
  ibrav = 0, nat = 16, ntyp = 3
/
ATOMIC_SPECIES
Ce 140.12 Ce.upf
Pu 244.00 Pu.upf
In 114.82 In.upf
CELL_PARAMETERS angstrom
-3.0438 -4.6158 2.4029
0.0587 0.2578 -6.9930
10.1141 -5.6833 1.8946
ATOMIC_POSITIONS crystal
Ce 0.6984 0.5572 0.8176
Ce 0.1412 0.4428 0.6824
Ce 0.8588 0.5572 0.3176
Ce 0.7141 0.2767 0.0343
Ce 0.0055 0.8399 0.6048
Ce 0.1656 0.1601 0.8952
Ce 0.4374 0.7233 0.4657
Ce 0.5626 0.2767 0.5343
Ce 0.9945 0.1601 0.3952
Ce 0.8344 0.8399 0.1048
Ce 0.3016 0.4428 0.1824
Ce 0.2859 0.7233 0.9657
Pu 0.0000 0.5000 0.5000
Pu 0.5000 0.5000 0.0000
In 0.5936 0.0000 0.7500
In 0.4064 0.0000 0.2500
```

Calculated values
Polymorph energy (0 for the lowest one)   0 meV/atom
Space-group type   No. 15
Volume   439.4 Å³/cell

***

Computed, not measured: a relaxed NaMg2CdNi crystal at the PBE level of DFT. Values from VASP.

The structure in Quantum ESPRESSO input format:
```
&SYSTEM
  ibrav = 0, nat = 5, ntyp = 4
/
ATOMIC_SPECIES
Mg 24.30 Mg.upf
Na 22.99 Na.upf
Cd 112.41 Cd.upf
Ni 58.69 Ni.upf
CELL_PARAMETERS angstrom
-0.9293 1.8103 -4.4419
-3.4227 -3.4200 -0.6778
-3.4710 3.0809 1.9818
ATOMIC_POSITIONS crystal
Mg 0.0000 0.5000 0.0000
Mg 0.5000 0.0000 0.0000
Na 0.5000 0.5000 0.5000
Cd 0.0000 0.0000 0.5000
Ni 0.0000 0.0000 0.0000
```

Calculated values
Space-group type   No. 123
Volume   120.5 Å³/cell

***

Computed, not measured: a relaxed Pr3Al2In crystal at the PBE level of DFT. Values from VASP.

The structure in Quantum ESPRESSO input format:
```
&SYSTEM
  ibrav = 0, nat = 12, ntyp = 3
/
ATOMIC_SPECIES
Pr 140.91 Pr.upf
Al 26.98 Al.upf
In 114.82 In.upf
CELL_PARAMETERS angstrom
-3.7136 -2.8729 -2.6374
5.1041 -1.7083 0.1719
-2.6335 -6.7546 11.0657
ATOMIC_POSITIONS crystal
Pr 0.6667 0.3333 0.0782
Pr 0.3333 0.6667 0.9218
Pr 0.0000 0.0000 0.7565
Pr 0.0000 0.0000 0.2435
Pr 0.3333 0.6667 0.4161
Pr 0.6667 0.3333 0.5839
Al 0.0000 0.0000 0.0000
Al 0.0000 0.0000 0.5000
Al 0.3333 0.6667 0.1679
Al 0.6667 0.3333 0.8321
In 0.3333 0.6667 0.6681
In 0.6667 0.3333 0.3319
```

Calculated values
Polymorph energy (0 for the lowest one)   9 meV/atom
Space-group type   No. 164
Volume   332.2 Å³/cell

***

DFT total energy? In order: -5.157, -8.446, -5.975, -2.863, -9.687, -5.220, -3.090, -8.208, -5.255, -6.748, -2.225, -4.470 eV/atom.